1.
AlTcSe2 | PBE | optimized geometry

The space group is Immm (No. 71) and the conventional cell measures 3.702, 3.706 and 13.141 Å, with angles of 90.00, 90.00 and 90.00 degrees. Symmetry generates all atoms from Al at (0.000, 0.000, 0.000), Tc at (0.000, 0.000, 0.500) and Se at (0.000, 0.500, 0.362).

For the uncorrected formation energy, the calculation gives -0.213 eV per atom. The calculation puts the energy at -5.483 eV/atom.


2.
AlTcSe2 | PBE | optimized geometry

The space group is P4/mmm (No. 123) and the conventional cell measures 3.106, 3.106 and 7.190 Å, with angles of 90.00, 90.00 and 90.00 degrees. Symmetry generates all atoms from Al at (0.000, 0.000, 0.000), Tc at (0.000, 0.000, 0.500) and Se at (0.500, 0.500, 0.285).

For the uncorrected formation energy, the calculation gives 0.070 eV per atom. The calculation puts the energy at -5.200 eV/atom.


3.
Al2TcSe | PBE | optimized geometry

The space group is P2/m (No. 10) and the conventional cell measures 3.259, 3.272 and 5.889 Å, with angles of 90.00, 90.25 and 90.00 degrees. Symmetry generates all atoms from Al at (0.002, 0.000, 0.222), Tc at (0.500, 0.500, 0.000) and Se at (0.500, 0.500, 0.500).

For the uncorrected formation energy, the calculation gives -0.221 eV per atom. The calculation puts the energy at -5.555 eV/atom.


4.
Al2TcSe | PBE | optimized geometry

The space group is Imm2 (No. 44) and the conventional cell measures 3.413, 4.408 and 8.486 Å, with angles of 90.00, 90.00 and 90.00 degrees. Symmetry generates all atoms from Al at (0.000, 0.000, 0.000), Al at (0.000, 0.500, 0.254), Tc at (0.000, 0.500, 0.734) and Se at (0.000, 0.000, 0.521).

For the uncorrected formation energy, the calculation gives 0.032 eV per atom. The calculation puts the energy at -5.302 eV/atom.


5.
AlTcSe2 | PBE | optimized geometry

The space group is I-4m2 (No. 119) and the conventional cell measures 4.053, 4.053 and 8.127 Å, with angles of 90.00, 90.00 and 90.00 degrees. Symmetry generates all atoms from Al at (0.000, 0.000, 0.000), Tc at (0.000, 0.500, 0.250), Se at (0.000, 0.000, 0.500) and Se at (0.000, 0.500, 0.750).

For the uncorrected formation energy, the calculation gives 0.381 eV per atom. The calculation puts the energy at -4.889 eV/atom.


6.
AlTcSe2 | PBE | optimized geometry

The space group is R3m (No. 160, hexagonal axes) and the conventional cell measures 3.1603, 3.1603 and 28.2046 Å, with angles of 90.00, 90.00 and 120.00 degrees. Symmetry generates all atoms from Al at (0.0000, 0.0000, 0.0000), Tc at (0.0000, 0.0000, 0.7397), Se at (0.0000, 0.0000, 0.2688) and Se at (0.0000, 0.0000, 0.4644).

For the uncorrected formation energy, the calculation gives -0.302 eV per atom. The calculation puts the energy at -5.571 eV/atom.